#1
This record from Alexandria describes a geometry-optimized BaNaLi structure. The functional is PBE.

```
BaNaLi
1.0
9.166 0.000 0.000
4.583 9.454 0.382
4.583 3.509 8.787
Ba Na Li
6 6 6
direct
0.257 0.959 0.459
0.675 0.041 0.541
0.677 0.540 0.040
0.257 0.460 0.960
0.838 0.250 0.750
0.838 0.750 0.250
0.496 0.500 0.500
0.496 0.000 0.000
0.257 0.882 0.879
0.018 0.118 0.121
0.018 0.621 0.618
0.257 0.379 0.382
0.258 0.749 0.249
0.256 0.251 0.751
0.590 0.667 0.666
0.923 0.333 0.334
0.923 0.834 0.833
0.590 0.166 0.167
```

ρ = 2.2 g/cm³

---

#2
This record from Alexandria describes a geometry-optimized BaNaLi structure. The functional is PBE.

```
BaNaLi
1.0
4.240 0.000 0.000
0.000 4.240 0.000
-2.120 -2.120 6.707
Na Ba Li
1 1 1
direct
0.302 0.302 0.604
0.007 0.007 0.015
0.690 0.690 0.381
```

ρ = 2.3 g/cm³

---

Which of them is the least stable? Correct choice: #2.

---

#1
This record from Alexandria describes a geometry-optimized Ba2Na3Li structure. The functional is PBE.

```
Ba2Na3Li
1.0
4.513 0.000 0.000
0.000 5.840 0.000
0.000 0.000 10.233
Ba Na Li
2 3 1
direct
0.000 0.500 0.019
0.000 0.000 0.483
0.500 0.000 0.832
0.500 0.000 0.171
0.500 0.500 0.661
0.500 0.500 0.335
```

ρ = 2.2 g/cm³

---

#2
This record from Alexandria describes a geometry-optimized Ba2Na3Li structure. The functional is PBE.

```
Ba2Na3Li
1.0
0.601 -5.442 -2.752
5.574 -1.370 3.928
-7.592 -2.411 9.933
Ba Na Li
4 6 2
direct
0.230 0.750 0.460
0.770 0.250 0.540
0.049 0.750 0.097
0.951 0.250 0.903
0.374 0.487 0.747
0.626 0.513 0.253
0.374 0.013 0.747
0.626 0.987 0.253
0.867 0.750 0.733
0.133 0.250 0.267
0.478 0.750 0.957
0.522 0.250 0.043
```

ρ = 2.2 g/cm³

---

Which of them is the least stable? Correct choice: #2.

---

#1
This record from Alexandria describes a geometry-optimized Ba2NaLiO structure. The functional is PBE.

```
Ba2NaLiO
1.0
5.622 0.000 0.000
0.000 5.622 0.000
0.000 0.000 4.840
Na Ba O Li
1 2 1 1
direct
0.500 0.500 0.500
0.000 0.500 0.000
0.500 0.000 0.000
0.000 0.000 0.000
0.000 0.000 0.500
```

ρ = 3.5 g/cm³

---

#2
This record from Alexandria describes a geometry-optimized Ba2NaLiO structure. The functional is PBE.

```
Ba2NaLiO
1.0
5.479 0.000 0.000
0.000 5.479 0.000
0.000 0.000 5.364
Na Ba O Li
1 2 1 1
direct
0.000 0.000 0.500
0.000 0.500 0.000
0.500 0.000 0.000
0.000 0.000 0.000
0.500 0.500 0.500
```

ρ = 3.3 g/cm³

---

Which of them is the least stable? Correct choice: #1.

---

#1
This record from Alexandria describes a geometry-optimized BaNaSrLi structure. The functional is PBE.

```
BaNaSrLi
1.0
4.389 0.000 0.000
0.000 4.389 0.000
0.000 0.000 9.235
Ba Na Sr Li
1 1 1 1
direct
0.500 0.500 0.801
0.000 0.000 0.084
0.500 0.500 0.343
0.000 0.000 0.557
```

ρ = 2.4 g/cm³

---

#2
This record from Alexandria describes a geometry-optimized BaNaSrLi structure. The functional is PBE.

```
BaNaSrLi
1.0
6.311 0.000 0.000
3.155 5.465 0.000
3.155 1.822 5.153
Sr Li Ba Na
1 1 1 1
direct
0.250 0.250 0.250
0.000 0.000 0.000
0.750 0.750 0.750
0.500 0.500 0.500
```

ρ = 2.4 g/cm³

---

Which of them is the least stable? Correct choice: #2.